# K2NpTlO4, relaxed, DFT PBE
# ρ = 6.519 g cm⁻³
# DOS(E_F) = 0.415 states/eV/atom
# formation energy from raw total energies = -2.021 eV/atom
data_K2NpTlO4
_space_group_name_H-M_alt 'C 1 2/m 1'
_space_group_IT_number 12
_space_group_name_Hall '-C 2y'
_cell_length_a 12.5920
_cell_length_b 3.5671
_cell_length_c 6.7887
_cell_angle_alpha 90.00
_cell_angle_beta 102.84
_cell_angle_gamma 90.00
loop_
_atom_site_label
_atom_site_type_symbol
_atom_site_fract_x
_atom_site_fract_y
_atom_site_fract_z
_atom_site_occupancy
K1 K 0.2418 0.0000 0.2555 1
Np1 Np 0.0000 0.0000 0.5000 1
Tl1 Tl 0.0000 0.5000 0.0000 1
O1 O 0.0927 0.5000 0.4108 1
O2 O 0.1043 0.0000 0.7713 1



# TaAl2As, relaxed, DFT PBE
# energy of formation from the pure elements = -0.068 eV per atom
# ρ = 7.445 g cm⁻³
# DOS(E_F) = 0.339 states/eV/atom
data_TaAl2As
_space_group_name_H-M_alt 'P 1 m 1'
_space_group_IT_number 6
_space_group_name_Hall 'P -2y'
_cell_length_a 2.9298
_cell_length_b 4.5361
_cell_length_c 5.3990
_cell_angle_alpha 90.00
_cell_angle_beta 105.61
_cell_angle_gamma 90.00
loop_
_atom_site_label
_atom_site_type_symbol
_atom_site_fract_x
_atom_site_fract_y
_atom_site_fract_z
_atom_site_occupancy
Ta1 Ta 0.0000 0.0000 0.0000 1
Al1 Al 0.2644 0.0000 0.5273 1
Al2 Al 0.6098 0.5000 0.2189 1
As1 As 0.8606 0.5000 0.7212 1



# Cs2YSi4O10F, relaxed, DFT PBE
# ρ = 3.451 g cm⁻³
# DOS(E_F) = 0.000 states/eV/atom
# formation energy from raw total energies = -2.903 eV/atom
data_Cs2YSi4O10F
_space_group_name_H-M_alt 'P n m a'
_space_group_IT_number 62
_space_group_name_Hall '-P 2ac 2n'
_cell_length_a 22.7015
_cell_length_b 9.0014
_cell_length_c 12.1717
_cell_angle_alpha 90.00
_cell_angle_beta 90.00
_cell_angle_gamma 90.00
loop_
_atom_site_label
_atom_site_type_symbol
_atom_site_fract_x
_atom_site_fract_y
_atom_site_fract_z
_atom_site_occupancy
Cs1 Cs 0.0172 0.2500 0.0496 1
Cs2 Cs 0.0424 0.2500 0.4452 1
Cs3 Cs 0.2277 0.2500 0.1805 1
Cs4 Cs 0.2360 0.2500 0.6223 1
Y1 Y 0.1511 0.9998 0.9047 1
Si1 Si 0.0204 0.0725 0.7517 1
Si2 Si 0.1121 0.5688 0.1974 1
Si3 Si 0.1178 0.5714 0.6251 1
Si4 Si 0.1893 0.5688 0.4125 1
O1 O 0.0172 0.2500 0.7238 1
O2 O 0.0483 0.5095 0.2479 1
O3 O 0.0505 0.5010 0.6398 1
O4 O 0.0544 0.0301 0.8622 1
O5 O 0.1063 0.7500 0.6136 1
O6 O 0.1092 0.7500 0.1855 1
O7 O 0.1286 0.0118 0.0847 1
O8 O 0.1395 0.5104 0.5030 1
O9 O 0.1629 0.5249 0.7197 1
O10 O 0.1626 0.5265 0.2903 1
O11 O 0.1941 0.7500 0.4227 1
O12 O 0.2489 0.5114 0.9318 1
F1 F 0.1446 0.7500 0.9168 1
F2 F 0.1592 0.2500 0.8999 1



# Y2AlGa3, relaxed, DFT PBE
# energy of formation from the pure elements = -0.620 eV per atom
# ρ = 5.555 g cm⁻³
# DOS(E_F) = 0.545 states/eV/atom
data_Y2AlGa3
_space_group_name_H-M_alt 'C 1 m 1'
_space_group_IT_number 8
_space_group_name_Hall 'C -2y'
_cell_length_a 10.7459
_cell_length_b 4.2777
_cell_length_c 7.0433
_cell_angle_alpha 90.00
_cell_angle_beta 130.15
_cell_angle_gamma 90.00
loop_
_atom_site_label
_atom_site_type_symbol
_atom_site_fract_x
_atom_site_fract_y
_atom_site_fract_z
_atom_site_occupancy
Y1 Y 0.0000 0.0000 0.0000 1
Y2 Y 0.1188 0.0000 0.6231 1
Al1 Al 0.2234 0.5000 0.4188 1
Ga1 Ga 0.2230 0.5000 0.0256 1
Ga2 Ga 0.3976 0.0000 0.6021 1
Ga3 Ga 0.4022 0.0000 0.2082 1



# DyTmSiRh, relaxed, DFT PBE
# ρ = 8.961 g cm⁻³
# DOS(E_F) = 0.618 states/eV/atom
# formation energy from raw total energies = -0.862 eV/atom
data_DyTmSiRh
_space_group_name_H-M_alt 'A m m 2'
_space_group_IT_number 38
_space_group_name_Hall 'A 2 -2'
_cell_length_a 4.0041
_cell_length_b 4.0877
_cell_length_c 10.4712
_cell_angle_alpha 90.00
_cell_angle_beta 90.00
_cell_angle_gamma 90.00
loop_
_atom_site_label
_atom_site_type_symbol
_atom_site_fract_x
_atom_site_fract_y
_atom_site_fract_z
_atom_site_occupancy
Dy1 Dy 0.0000 0.0000 0.0000 1
Tm1 Tm 0.5000 0.0000 0.7183 1
Si1 Si 0.0000 0.0000 0.2878 1
Rh1 Rh 0.5000 0.0000 0.4343 1



# Np2PaS6, relaxed, DFT PBE
# ρ = 7.349 g cm⁻³
# DOS(E_F) = 2.747 states/eV/atom
# formation energy from raw total energies = -1.453 eV/atom
# polymorph energy (0 for the lowest one) = 0.00 kJ/mol of atoms
data_Np2PaS6
_space_group_name_H-M_alt 'I m m m'
_space_group_IT_number 71
_space_group_name_Hall '-I 2 2'
_cell_length_a 4.5769
_cell_length_b 6.4686
_cell_length_c 13.6988
_cell_angle_alpha 90.00
_cell_angle_beta 90.00
_cell_angle_gamma 90.00
loop_
_atom_site_label
_atom_site_type_symbol
_atom_site_fract_x
_atom_site_fract_y
_atom_site_fract_z
_atom_site_occupancy
Np1 Np 0.0000 0.0000 0.1684 1
Pa1 Pa 0.0000 0.0000 0.5000 1
S1 S 0.0000 0.2489 0.3354 1
S2 S 0.0000 0.2538 0.0000 1